The following is a DFT calculation (PBE-GGA) of a geometry-optimized Sm5ZnBi4 structure.

Magnetization   0.00 μB per formula unit
Energy   -4.744 eV/atom
Formation energy   -704 meV per atom

a = 6.3834 Å, b = 7.8129 Å, c = 7.8129 Å
α = 80.39°, β = 65.89°, γ = 65.89°
Fractional coordinates of all 10 atoms:
Sm 0.3006 0.8036 0.5971
Sm 0.5014 0.0000 0.0000
Sm 0.1041 0.5971 0.1964
Sm 0.8977 0.4029 0.8036
Sm 0.7013 0.1964 0.4029
Bi 0.8014 0.7971 0.6020
Bi 0.5985 0.6020 0.2029
Bi 0.2005 0.2029 0.3980
Bi 0.4034 0.3980 0.7971
Zn 0.0015 0.0000 0.0000



The following is a DFT calculation (PBE-GGA) of a geometry-optimized Sm8ZnBi2 structure.

Magnetization   0.75 μB per formula unit
Energy   -4.550 eV/atom
Formation energy   -297 meV per atom

a = 5.1946 Å, b = 6.8806 Å, c = 10.1978 Å
α = 103.28°, β = 104.76°, γ = 90.00°
Last column: magnetic moment on the atom in μB.
Fractional coordinates of all 11 atoms:
Sm 0.6517 0.0209 0.3034  0.05
Sm 0.3483 0.9791 0.6966  0.05
Sm 0.9869 0.2228 0.9738  0.01
Sm 0.7830 0.6701 0.5661  0.15
Sm 0.5901 0.4803 0.1803  0.00
Sm 0.2170 0.3299 0.4339  0.15
Sm 0.0131 0.7772 0.0262  0.01
Sm 0.4099 0.5197 0.8197  0.00
Bi 0.1788 0.7687 0.3576  -0.01
Bi 0.8212 0.2313 0.6424  -0.01
Zn 0.5000 0.0000 0.0000  0.00



Question: Which of these has the highest formation energy?
Answer: Sm8ZnBi2



Question: Look up the energy of the second one.
Answer: -4.550 eV/atom



Question: Number 1 is which compound?
Answer: Sm5ZnBi4